[1]
A relaxed La2CuCl crystal. Source: Alexandria via LeMat-Bulk, functional GGA-PBEsol.

Computed properties:
* calculated total energy: -20.4 eV per formula unit
* E above lowest polymorph: 0.055 eV/atom
* D(E_F): 8.066 states/eV per cell
* space group: R-3m, No. 166
* crystal system: trigonal
* ΔE_f (raw): -830 meV per atom
* size of the total moment: 0.00 μB per formula unit

```
data_La2CuCl
_chemical_formula_sum 'La6 Cu3 Cl3'
_space_group_name_H-M_alt 'P 1'
_space_group_IT_number 1
_cell_length_a 4.2345
_cell_length_b 4.2345
_cell_length_c 19.7776
_cell_angle_alpha 90.00
_cell_angle_beta 90.00
_cell_angle_gamma 120.00
loop_
_space_group_symop_operation_xyz
'x,y,z'
loop_
_atom_site_label
_atom_site_type_symbol
_atom_site_fract_x
_atom_site_fract_y
_atom_site_fract_z
La1 La 0.0000 0.0000 0.2490
La2 La 0.0000 0.0000 0.7510
La3 La 0.3333 0.6667 0.4176
La4 La 0.3333 0.6667 0.9157
La5 La 0.6667 0.3333 0.0843
La6 La 0.6667 0.3333 0.5824
Cu1 Cu 0.0000 0.0000 0.0000
Cu2 Cu 0.3333 0.6667 0.6667
Cu3 Cu 0.6667 0.3333 0.3333
Cl1 Cl 0.0000 0.0000 0.5000
Cl2 Cl 0.3333 0.6667 0.1667
Cl3 Cl 0.6667 0.3333 0.8333
```

---

[2]
A relaxed La2CuCl crystal. Source: Alexandria via LeMat-Bulk, functional GGA-PBEsol.

Computed properties:
* calculated total energy: -20.1 eV per formula unit
* E above lowest polymorph: 0.118 eV/atom
* D(E_F): 6.300 states/eV per cell
* space group: Amm2, No. 38
* crystal system: orthorhombic
* ΔE_f (raw): -767 meV per atom
* size of the total moment: 0.00 μB per formula unit

```
data_La2CuCl
_chemical_formula_sum 'La4 Cu2 Cl2'
_space_group_name_H-M_alt 'P 1'
_space_group_IT_number 1
_cell_length_a 4.5450
_cell_length_b 3.6658
_cell_length_c 11.4520
_cell_angle_alpha 90.00
_cell_angle_beta 90.00
_cell_angle_gamma 90.00
loop_
_space_group_symop_operation_xyz
'x,y,z'
loop_
_atom_site_label
_atom_site_type_symbol
_atom_site_fract_x
_atom_site_fract_y
_atom_site_fract_z
La1 La 0.0000 0.0000 0.0000
La2 La 0.0000 0.5000 0.5000
La3 La 0.5000 0.0000 0.2497
La4 La 0.5000 0.5000 0.7497
Cu1 Cu 0.5000 0.0000 0.5057
Cu2 Cu 0.5000 0.5000 0.0057
Cl1 Cl 0.0000 0.0000 0.7410
Cl2 Cl 0.0000 0.5000 0.2410
```

---

[3]
A relaxed La2CuCl crystal. Source: Alexandria via LeMat-Bulk, functional GGA-PBEsol.

Computed properties:
* calculated total energy: -19.8 eV per formula unit
* E above lowest polymorph: 0.190 eV/atom
* D(E_F): 3.890 states/eV per cell
* space group: Pmmm, No. 47
* crystal system: orthorhombic
* ΔE_f (raw): -695 meV per atom
* size of the total moment: 0.00 μB per formula unit

```
data_La2CuCl
_chemical_formula_sum 'La2 Cu1 Cl1'
_space_group_name_H-M_alt 'P 1'
_space_group_IT_number 1
_cell_length_a 3.3432
_cell_length_b 4.9366
_cell_length_c 5.5544
_cell_angle_alpha 90.00
_cell_angle_beta 90.00
_cell_angle_gamma 90.00
loop_
_space_group_symop_operation_xyz
'x,y,z'
loop_
_atom_site_label
_atom_site_type_symbol
_atom_site_fract_x
_atom_site_fract_y
_atom_site_fract_z
La1 La 0.0000 0.0000 0.0000
La2 La 0.0000 0.5000 0.5000
Cu1 Cu 0.5000 0.0000 0.5000
Cl1 Cl 0.5000 0.5000 0.0000
```

---

[4]
A relaxed LaNb2CuClO7 crystal. Source: Alexandria via LeMat-Bulk, functional GGA-PBEsol.

Computed properties:
* calculated total energy: -98.1 eV per formula unit
* E above lowest polymorph: 0.022 eV/atom
* D(E_F): 2.419 states/eV per cell
* space group: P4/mmm, No. 123
* crystal system: tetragonal
* ΔE_f (raw): -2333 meV per atom
* size of the total moment: 0.25 μB per formula unit

```
data_LaNb2CuClO7
_chemical_formula_sum 'La1 Nb2 Cu1 Cl1 O7'
_space_group_name_H-M_alt 'P 1'
_space_group_IT_number 1
_cell_length_a 3.8749
_cell_length_b 3.8749
_cell_length_c 11.7082
_cell_angle_alpha 90.00
_cell_angle_beta 90.00
_cell_angle_gamma 90.00
loop_
_space_group_symop_operation_xyz
'x,y,z'
loop_
_atom_site_label
_atom_site_type_symbol
_atom_site_fract_x
_atom_site_fract_y
_atom_site_fract_z
La1 La 0.0000 0.0000 0.0000
Nb1 Nb 0.5000 0.5000 0.1923
Nb2 Nb 0.5000 0.5000 0.8077
Cu1 Cu 0.5000 0.5000 0.5000
Cl1 Cl 0.0000 0.0000 0.5000
O1 O 0.0000 0.5000 0.1531
O2 O 0.0000 0.5000 0.8469
O3 O 0.5000 0.0000 0.1531
O4 O 0.5000 0.0000 0.8469
O5 O 0.5000 0.5000 0.0000
O6 O 0.5000 0.5000 0.3462
O7 O 0.5000 0.5000 0.6538
```

---

[5]
A relaxed LaNb2CuClO7 crystal. Source: Alexandria via LeMat-Bulk, functional GGA-PBEsol.

Computed properties:
* calculated total energy: -98.3 eV per formula unit
* E above lowest polymorph: 0.000 eV/atom
* D(E_F): 2.932 states/eV per cell
* space group: Pbam, No. 55
* crystal system: orthorhombic
* ΔE_f (raw): -2355 meV per atom
* size of the total moment: 1.00 μB per formula unit

```
data_LaNb2CuClO7
_chemical_formula_sum 'La4 Nb8 Cu4 Cl4 O28'
_space_group_name_H-M_alt 'P 1'
_space_group_IT_number 1
_cell_length_a 7.7903
_cell_length_b 7.8152
_cell_length_c 11.6981
_cell_angle_alpha 90.00
_cell_angle_beta 90.00
_cell_angle_gamma 90.00
loop_
_space_group_symop_operation_xyz
'x,y,z'
loop_
_atom_site_label
_atom_site_type_symbol
_atom_site_fract_x
_atom_site_fract_y
_atom_site_fract_z
La1 La 0.0001 0.2381 0.0000
La2 La 0.9999 0.7619 0.0000
La3 La 0.5001 0.2619 0.0000
La4 La 0.4999 0.7381 0.0000
Nb1 Nb 0.2474 0.4998 0.1905
Nb2 Nb 0.2474 0.4998 0.8095
Nb3 Nb 0.2526 0.9998 0.1905
Nb4 Nb 0.2526 0.9998 0.8095
Nb5 Nb 0.7474 0.0002 0.1905
Nb6 Nb 0.7474 0.0002 0.8095
Nb7 Nb 0.7526 0.5002 0.1905
Nb8 Nb 0.7526 0.5002 0.8095
Cu1 Cu 0.2283 0.4916 0.5000
Cu2 Cu 0.2717 0.9916 0.5000
Cu3 Cu 0.7283 0.0084 0.5000
Cu4 Cu 0.7717 0.5084 0.5000
Cl1 Cl 0.0843 0.2277 0.5000
Cl2 Cl 0.4157 0.7277 0.5000
Cl3 Cl 0.5843 0.2723 0.5000
Cl4 Cl 0.9157 0.7723 0.5000
O1 O 0.0000 0.0000 0.1817
O2 O 0.0000 0.0000 0.8183
O3 O 0.0000 0.5000 0.1326
O4 O 0.0000 0.5000 0.8674
O5 O 0.2035 0.9997 0.0000
O6 O 0.2175 0.4983 0.3431
O7 O 0.2175 0.4983 0.6569
O8 O 0.2502 0.2498 0.1511
O9 O 0.2502 0.2498 0.8489
O10 O 0.2498 0.7498 0.1511
O11 O 0.2498 0.7498 0.8489
O12 O 0.2825 0.9983 0.3431
O13 O 0.2825 0.9983 0.6569
O14 O 0.2965 0.4997 0.0000
O15 O 0.5000 0.0000 0.1326
O16 O 0.5000 0.0000 0.8674
O17 O 0.5000 0.5000 0.1817
O18 O 0.5000 0.5000 0.8183
O19 O 0.7035 0.5003 0.0000
O20 O 0.7175 0.0017 0.3431
O21 O 0.7175 0.0017 0.6569
O22 O 0.7502 0.2502 0.1511
O23 O 0.7502 0.2502 0.8489
O24 O 0.7498 0.7502 0.1511
O25 O 0.7498 0.7502 0.8489
O26 O 0.7825 0.5017 0.3431
O27 O 0.7825 0.5017 0.6569
O28 O 0.7965 0.0003 0.0000
```

---

[6]
A relaxed LiCuCl crystal. Source: Alexandria via LeMat-Bulk, functional GGA-PBEsol.

Computed properties:
* calculated total energy: -9.3 eV per formula unit
* D(E_F): 2.226 states/eV per cell
* space group: I4mm, No. 107
* crystal system: tetragonal
* ΔE_f (raw): -317 meV per atom
* size of the total moment: 0.00 μB per formula unit

```
data_LiCuCl
_chemical_formula_sum 'Li2 Cu2 Cl2'
_space_group_name_H-M_alt 'P 1'
_space_group_IT_number 1
_cell_length_a 3.1443
_cell_length_b 3.1443
_cell_length_c 11.0735
_cell_angle_alpha 90.00
_cell_angle_beta 90.00
_cell_angle_gamma 90.00
loop_
_space_group_symop_operation_xyz
'x,y,z'
loop_
_atom_site_label
_atom_site_type_symbol
_atom_site_fract_x
_atom_site_fract_y
_atom_site_fract_z
Li1 Li 0.0000 0.0000 0.0000
Li2 Li 0.5000 0.5000 0.5000
Cu1 Cu 0.0000 0.0000 0.6606
Cu2 Cu 0.5000 0.5000 0.1606
Cl1 Cl 0.0000 0.0000 0.4389
Cl2 Cl 0.5000 0.5000 0.9389
```